A relaxed structure of TiMn3F, computed with PBE+U.

Cell: 5.0807 5.0807 5.0807 Å, 90.00 90.00 90.00°
With the nearest neighbours (Å) after each atom.
Sites, in units of the cell vectors:
Ti: 0.0000 0.0000 0.0000  6 Mn 2.54
Mn: 0.0000 0.0000 0.5000  2 Ti 2.54
Mn: 0.0000 0.5000 0.0000  2 Ti 2.54
Mn: 0.5000 0.0000 0.0000  2 Ti 2.54
F: 0.5000 0.5000 0.5000  12 Mn 3.59

## Properties
- space-group type = Pm-3m, No. 221
- DOS(E_F) (states/eV per cell) = 2.7
- total energy (Ry per atom) = -0.3990